Er2PtI2 (PBE-GGA, relaxed); raw formation energy = -1268 meV per atom; symmetry = No. 12
1.0
3.550 -2.049 0.000
3.550 2.049 0.000
-2.628 0.000 11.959
Er Pt I
2 1 2
direct
0.214 0.214 0.129
0.786 0.786 0.871
0.500 0.500 0.000
0.053 0.053 0.694
0.947 0.947 0.306



HfIrSe2Cl (PBE-GGA, relaxed); raw formation energy = 320 meV per atom; symmetry = No. 123
1.0
5.196 0.000 0.000
0.000 5.196 0.000
0.000 0.000 4.757
Hf Ir Se Cl
1 1 2 1
direct
0.000 0.000 0.000
0.500 0.500 0.500
0.000 0.500 0.000
0.500 0.000 0.000
0.000 0.000 0.500



Pm2RhBr2 (PBE-GGA, relaxed); raw formation energy = -1294 meV per atom; symmetry = No. 166
1.0
2.039 1.177 10.863
-2.039 1.177 10.863
0.000 -2.355 10.863
Pm Rh Br
2 1 2
direct
0.116 0.116 0.116
0.884 0.884 0.884
0.500 0.500 0.500
0.277 0.277 0.277
0.723 0.723 0.723



RuPtS2 (PBE-GGA, relaxed); raw formation energy = -106 meV per atom; energy relative to the lowest polymorph listed for this composition = 0.000 eV per atom; symmetry = No. 166
1.0
1.664 0.961 7.279
-1.664 0.961 7.279
0.000 -1.921 7.279
Ru Pt S
1 1 2
direct
0.000 0.000 0.000
0.500 0.500 0.500
0.397 0.397 0.397
0.603 0.603 0.603



DyTl2GeSe4 (PBE-GGA, relaxed); raw formation energy = -785 meV per atom; symmetry = No. 10
1.0
7.248 0.000 0.000
0.000 4.074 0.000
-2.411 0.000 7.535
Dy Tl Ge Se
1 2 1 4
direct
0.000 0.000 0.000
0.000 0.500 0.500
0.500 0.000 0.500
0.500 0.500 0.000
0.243 0.500 0.204
0.270 0.000 0.798
0.730 0.000 0.202
0.757 0.500 0.796



Mn2InPW (PBE-GGA, relaxed); formation energy from the elements = 0.966 eV per atom; symmetry = No. 123
1.0
4.240 0.000 0.000
0.000 4.240 0.000
0.000 0.000 5.032
Mn In P W
2 1 1 1
direct
0.000 0.500 0.000
0.500 0.000 0.000
0.000 0.000 0.500
0.000 0.000 0.000
0.500 0.500 0.500



Al3Fe4Ge (PBE-GGA, relaxed); formation energy from the elements = -0.264 eV per atom; symmetry = No. 123
1.0
2.877 0.000 0.000
0.000 2.877 0.000
0.000 0.000 11.442
Al Fe Ge
3 4 1
direct
0.000 0.000 0.000
0.000 0.000 0.250
0.000 0.000 0.750
0.500 0.500 0.125
0.500 0.500 0.380
0.500 0.500 0.620
0.500 0.500 0.875
0.000 0.000 0.500



KNi2Ag (PBE-GGA, relaxed); energy relative to the lowest polymorph listed for this composition = 0.245 eV per atom; formation energy from the elements = 0.656 eV per atom; symmetry = No. 123
1.0
3.306 0.000 0.000
0.000 3.306 0.000
0.000 0.000 7.336
K Ni Ag
1 2 1
direct
0.000 0.000 0.000
0.500 0.500 0.336
0.500 0.500 0.664
0.000 0.000 0.500



Ba3HfW (PBE-GGA, relaxed); energy relative to the lowest polymorph listed for this composition = 0.000 eV per atom; formation energy from the elements = 1.594 eV per atom; symmetry = No. 221
1.0
5.943 0.000 0.000
0.000 5.943 0.000
0.000 0.000 5.943
Ba Hf W
3 1 1
direct
0.000 0.000 0.500
0.000 0.500 0.000
0.500 0.000 0.000
0.500 0.500 0.500
0.000 0.000 0.000



BaNdHg (PBE-GGA, relaxed); energy relative to the lowest polymorph listed for this composition = 0.110 eV per atom; formation energy from the elements = -0.156 eV per atom; symmetry = No. 187
1.0
5.418 0.000 0.000
-2.709 4.692 0.000
0.000 0.000 4.486
Ba Nd Hg
1 1 1
direct
0.000 0.000 0.000
0.333 0.667 0.500
0.667 0.333 0.500